Record 1
Here is a relaxed structure of Li2SiPb from Alexandria via LeMat-Bulk. Energies are from PBE-GGA.

E above lowest polymorph (eV per atom): 0.012
Formation energy from raw total energies (eV per atom): -0.0713

Cell: 3.3422 3.3422 6.6696 Å, 90.00 90.00 90.00°
Last column: nearest neighbours and their distance in Å.
Sites, in units of the cell vectors:
Si (0.5000, 0.5000, 0.5000)  8 Li 2.73
Li (0.0000, 0.0000, 0.2941)  4 Si 2.73, 1 Li 2.75
Li (0.0000, 0.0000, 0.7059)  4 Si 2.73, 1 Li 2.75
Pb (0.5000, 0.5000, 0.0000)  8 Li 3.07, 2 Si 3.33, 4 Pb 3.34

Record 2
Here is a relaxed structure of Ba2TbOs3O12 from Alexandria via LeMat-Bulk. Energies are from PBE-GGA.

Formation energy from raw total energies (eV per atom): -1.7596

Cell: 7.2427 7.2427 7.2427 Å, 60.70 60.70 60.70°
Last column: nearest neighbours and their distance in Å.
Sites, in units of the cell vectors:
O (0.1094, 0.1094, 0.6127)  1 Os 1.95
O (0.2931, 0.9135, 0.2931)  2 Os 1.91
O (0.3873, 0.8906, 0.8906)  1 Os 1.95
O (0.8906, 0.8906, 0.3873)  1 Os 1.95
O (0.7069, 0.0865, 0.7069)  2 Os 1.91
O (0.9135, 0.2931, 0.2931)  2 Os 1.91
O (0.6127, 0.1094, 0.1094)  1 Os 1.95
O (0.0865, 0.7069, 0.7069)  2 Os 1.91
O (0.8906, 0.3873, 0.8906)  1 Os 1.95
O (0.2931, 0.2931, 0.9135)  2 Os 1.91
O (0.1094, 0.6127, 0.1094)  1 Os 1.95
O (0.7069, 0.7069, 0.0865)  2 Os 1.91
Tb (0.0000, 0.0000, 0.0000)  6 O 2.32
Os (0.0000, 0.0000, 0.5000)  6 O 1.91-1.95
Os (0.5000, 0.0000, 0.0000)  6 O 1.91-1.95
Os (0.0000, 0.5000, 0.0000)  6 O 1.91-1.95
Ba (0.3665, 0.3665, 0.3665)  3 O 2.65
Ba (0.6335, 0.6335, 0.6335)  3 O 2.65

Record 3
Here is a relaxed structure of TiTl2HSe4 from Alexandria via LeMat-Bulk. Energies are from PBE-GGA.

Cell: 3.6268 8.0001 6.8288 Å, 69.68 90.00 90.00°
Last column: nearest neighbours and their distance in Å.
Sites, in units of the cell vectors:
Se (0.0000, 0.6428, 0.7982)  2 H 2.32
Se (0.5000, 0.7090, 0.3001)  2 Ti 2.52
Se (0.0000, 0.3572, 0.2018)  2 H 2.32
Se (0.5000, 0.2910, 0.6999)  2 Ti 2.52
Ti (0.0000, 0.5000, 0.5000)  6 Se 2.52-2.66
Tl (0.5000, 0.0000, 0.5000)  6 Se 3.08-3.40
Tl (0.0000, 0.0000, 0.0000)  4 Se 3.10
H (0.5000, 0.5000, 0.0000)  4 Se 2.32

Record 4
Here is a relaxed structure of BaTlRh2 from Alexandria via LeMat-Bulk. Energies are from PBE-GGA.

Energy relative to the elements (meV/atom): 158

Cell: 6.2520 6.2520 6.2520 Å, 149.65 132.60 57.33°
Last column: nearest neighbours and their distance in Å.
Sites, in units of the cell vectors:
Ba (0.7581, 0.2581, 0.5000)  4 Rh 3.01, 2 Ba 3.27
Rh (0.2361, 0.7361, 0.5000)  2 Rh 2.74, 4 Ba 3.01, 2 Tl 3.04
Rh (0.0362, 0.0362, 0.0000)  2 Rh 2.74
Tl (0.4696, 0.4696, 0.0000)  6 Rh 3.04-3.09, 2 Tl 3.27

Record 5
Here is a relaxed structure of LaNbP2 from Alexandria via LeMat-Bulk. Energies are from PBE-GGA.

E above lowest polymorph (eV per atom): 0.492
Energy relative to the elements (meV/atom): -608

Cell: 4.7645 4.7645 4.7645 Å, 60.00 60.00 60.00°
Last column: nearest neighbours and their distance in Å.
Sites, in units of the cell vectors:
P (0.7500, 0.7500, 0.7500)  4 La 2.92, 4 Nb 2.92
P (0.2500, 0.2500, 0.2500)  4 La 2.92, 4 Nb 2.92
Nb (0.0000, 0.0000, 0.0000)  8 P 2.92
La (0.5000, 0.5000, 0.5000)  8 P 2.92

Record 6
Here is a relaxed structure of Ho2ScIn from Alexandria via LeMat-Bulk. Energies are from PBE-GGA.

E above lowest polymorph (eV per atom): 0.144
Energy relative to the elements (meV/atom): -114

Cell: 5.3043 5.3043 5.3021 Å, 59.99 59.99 60.00°
Last column: nearest neighbours and their distance in Å.
Sites, in units of the cell vectors:
Ho (0.0000, 0.0000, 0.9999)  4 Ho 3.25, 4 In 3.25
Ho (0.2501, 0.2501, 0.2497)  4 Sc 3.24-3.25, 4 Ho 3.25
Sc (0.4999, 0.4999, 0.5002)  4 Ho 3.24-3.25, 4 In 3.25
In (0.7499, 0.7499, 0.7502)  4 Sc 3.25, 4 Ho 3.25

Record 7
Here is a relaxed structure of LaP2Ru from Alexandria via LeMat-Bulk. Energies are from PBE-GGA.

E above lowest polymorph (eV per atom): 0.582
Energy relative to the elements (meV/atom): -404

Cell: 3.1693 3.1693 6.8988 Å, 90.00 90.00 90.27°
Last column: nearest neighbours and their distance in Å.
Sites, in units of the cell vectors:
La (0.5000, 0.5000, 0.7500)  8 P 3.09, 4 La 3.17, 2 Ru 3.45
Ru (0.5000, 0.5000, 0.2500)  8 P 2.60-2.61
P (0.0000, 0.0000, 0.0585)  4 Ru 2.60-2.61, 1 P 2.64
P (0.0000, 0.0000, 0.4415)  4 Ru 2.60-2.61, 1 P 2.64

Record 8
Here is a relaxed structure of In2NiN2 from Alexandria via LeMat-Bulk. Energies are from PBE-GGA.

Formation energy from raw total energies (eV per atom): 0.3546

Cell: 3.3340 3.3890 11.8133 Å, 90.00 90.00 90.00°
Last column: nearest neighbours and their distance in Å.
Sites, in units of the cell vectors:
N (0.0000, 0.7274, 0.8420)  1 Ni 1.90
N (0.0000, 0.7274, 0.1580)  1 Ni 1.90
N (0.5000, 0.2726, 0.3420)  1 Ni 1.90
N (0.5000, 0.2726, 0.6580)  1 Ni 1.90
In (0.0000, 0.7485, 0.6466)  5 N 2.31-2.44
In (0.0000, 0.7485, 0.3534)  5 N 2.31-2.44
In (0.5000, 0.2515, 0.1466)  5 N 2.31-2.44
In (0.5000, 0.2515, 0.8534)  5 N 2.31-2.44
Ni (0.0000, 0.8375, 0.0000)  2 N 1.90
Ni (0.5000, 0.1625, 0.5000)  2 N 1.90

Record 9
Here is a relaxed structure of RbTl2Hg2 from Alexandria via LeMat-Bulk. Energies are from PBE-GGA.

E above lowest polymorph (eV per atom): 0.000
Energy relative to the elements (meV/atom): -132

Cell: 5.1363 5.1363 7.6474 Å, 70.38 70.38 90.00°
Last column: nearest neighbours and their distance in Å.
Sites, in units of the cell vectors:
Tl (0.2500, 0.7500, 0.5000)  4 Hg 3.17
Tl (0.7500, 0.2500, 0.5000)  4 Hg 3.17
Hg (0.3886, 0.3886, 0.2228)  1 Hg 3.00, 4 Tl 3.17
Hg (0.6114, 0.6114, 0.7772)  1 Hg 3.00, 4 Tl 3.17
Rb (0.0000, 0.0000, 0.0000)  8 Hg 3.93, 8 Tl 4.23

Record 10
Here is a relaxed structure of CrCd2Ir from Alexandria via LeMat-Bulk. Energies are from PBE-GGA.

E above lowest polymorph (eV per atom): 0.272
Energy relative to the elements (meV/atom): 352

Cell: 4.9286 4.9286 3.0470 Å, 90.00 90.00 108.80°
Last column: nearest neighbours and their distance in Å.
Sites, in units of the cell vectors:
Ir (0.0000, 0.5000, 0.5000)  2 Cr 2.87, 8 Cd 2.90, 2 Ir 3.05
Cr (0.5000, 0.0000, 0.5000)  2 Ir 2.87, 8 Cd 2.90, 2 Cr 3.05
Cd (0.0000, 0.0000, 0.0000)  4 Cd 2.87-3.05, 4 Ir 2.90, 4 Cr 2.90
Cd (0.5000, 0.5000, 0.0000)  4 Cd 2.87-3.05, 4 Cr 2.90, 4 Ir 2.90

Record 11
Here is a relaxed structure of LaMgGePt from Alexandria via LeMat-Bulk. Energies are from PBE-GGA.

Energy relative to the elements (meV/atom): -685

Cell: 4.9743 4.9743 4.9743 Å, 60.00 60.00 60.00°
Last column: nearest neighbours and their distance in Å.
Sites, in units of the cell vectors:
Ge (0.2500, 0.2500, 0.2500)  4 La 3.05, 4 Mg 3.05
Mg (0.5000, 0.5000, 0.5000)  4 Ge 3.05, 4 Pt 3.05
Pt (0.7500, 0.7500, 0.7500)  4 La 3.05, 4 Mg 3.05
La (0.0000, 0.0000, 0.0000)  4 Pt 3.05, 4 Ge 3.05

Record 12
Here is a relaxed structure of TlCuTe2 from Alexandria via LeMat-Bulk. Energies are from PBE-GGA.

Formation energy from raw total energies (eV per atom): 0.1740

Cell: 3.3543 3.3543 9.9741 Å, 90.00 90.00 90.00°
Last column: nearest neighbours and their distance in Å.
Sites, in units of the cell vectors:
Cu (0.5000, 0.5000, 0.7820)  4 Te 2.70
Te (0.0000, 0.0000, 0.9106)  4 Cu 2.70
Te (0.5000, 0.5000, 0.2674)  4 Te 3.35, 4 Tl 3.61
Tl (0.0000, 0.0000, 0.5400)  4 Tl 3.35, 4 Cu 3.38, 5 Te 3.61-3.70

Number 1: magnetic moment 0.00 μB/f.u., energy -0.1217 hartree per atom. Number 2: magnetic moment 0.00 μB/f.u., energy -0.2722 hartree per atom. Number 3: magnetic moment 0.00 μB/f.u., energy -0.1468 hartree per atom. Number 4: magnetic moment 0.00 μB/f.u., energy -0.1687 hartree per atom. Number 5: magnetic moment 0.00 μB/f.u., energy -0.2595 hartree per atom. Number 6: magnetic moment 1.06 μB/f.u., energy -0.1717 hartree per atom. Number 7: magnetic moment 0.00 μB/f.u., energy -0.2448 hartree per atom. Number 8: magnetic moment 0.00 μB/f.u., energy -0.1921 hartree per atom. Number 9: magnetic moment 0.00 μB/f.u., energy -0.0512 hartree per atom. Number 10: magnetic moment 4.14 μB/f.u., energy -0.1737 hartree per atom. Number 11: magnetic moment 0.00 μB/f.u., energy -0.1830 hartree per atom. Number 12: magnetic moment 0.00 μB/f.u., energy -0.1107 hartree per atom.